DFT (PBE-GGA) results for a relaxed structure of CuAg2Au.

Properties
* total DFT energy (no corrections): -3.278 eV per atom
* M_tot: 0.000 μB per atom
* excess energy over the best structure of this formula in the dataset: 0.000 eV/atom
* DFT formation energy: -9 meV per atom

The structure in CIF format:
```
data_CuAg2Au
_space_group_name_H-M_alt 'C 1 2/m 1'
_space_group_IT_number 12
_space_group_name_Hall '-C 2y'
_cell_length_a 5.860
_cell_length_b 5.858
_cell_length_c 8.231
_cell_angle_alpha 90.00
_cell_angle_beta 110.59
_cell_angle_gamma 90.00
loop_
_atom_site_label
_atom_site_type_symbol
_atom_site_fract_x
_atom_site_fract_y
_atom_site_fract_z
Cu1 Cu 0.000 0.249 0.000
Ag1 Ag 0.135 0.000 0.770
Ag2 Ag 0.250 0.250 0.500
Au1 Au 0.138 0.500 0.776
```